A plane-wave DFT calculation with PBE+U was carried out for a geometry-optimized Sr4CaFe2S2O6 structure.

Cell: 3.9635 3.9635 16.7545 Å, 90.00 90.00 90.00°
Closest atoms and distances in Å follow each position.
Atoms (fractional coordinates):
S (0.5000, 0.0000, 0.6115)  2 Ca 2.72
S (0.0000, 0.5000, 0.3885)  2 Ca 2.72
Fe (0.0000, 0.5000, 0.1792)  5 O 1.92-2.01
Fe (0.5000, 0.0000, 0.8208)  5 O 1.92-2.01
O (0.5000, 0.5000, 0.8006)  2 Fe 2.01
O (0.5000, 0.0000, 0.9355)  1 Fe 1.92
O (0.0000, 0.0000, 0.1990)  2 Fe 2.01
O (0.0000, 0.0000, 0.8010)  2 Fe 2.01
O (0.5000, 0.5000, 0.1994)  2 Fe 2.01
O (0.0000, 0.5000, 0.0645)  1 Fe 1.92
Sr (0.0000, 0.5000, 0.7035)  4 O 2.56-2.57
Sr (0.5000, 0.0000, 0.0827)  1 O 2.47
Sr (0.5000, 0.0000, 0.2965)  4 O 2.56-2.57
Sr (0.0000, 0.5000, 0.9173)  1 O 2.47
Ca (0.5000, 0.5000, 0.5000)  4 S 2.72

Values from the calculation:
Calculated volume, Å³ per cell: 263.20
SG: P-4m2, No. 115
Total energy, eV per atom: -6.053
Total magnetic moment, μB/atom: 0.67